Version A
DFT (GGA-PBE) results for a relaxed Ca2TbPr4 crystal.

It has space group I4/mmm (No. 139), with a = 5.818 Å, b = 5.818 Å, c = 18.097 Å, α = 90.00°, β = 90.00° and γ = 90.00°. The inequivalent atoms are Ca at (0.000, 0.000, 0.126), Tb at (0.000, 0.000, 0.500), Pr at (0.000, 0.000, 0.327) and Pr at (0.000, 0.500, 0.000).



Version B
DFT (GGA-PBE) results for a relaxed Ca2TbPr4 crystal.

It has space group Immm (No. 71), with a = 3.611 Å, b = 5.970 Å, c = 23.977 Å, α = 90.00°, β = 90.00° and γ = 90.00°. The inequivalent atoms are Ca at (0.000, 0.000, 0.221), Tb at (0.000, 0.000, 0.500), Pr at (0.000, 0.500, 0.130) and Pr at (0.000, 0.500, 0.420).



Which structure is most stable? version B, by 44.4 kJ/mol of atoms over the runner-up.



Version A
DFT (GGA-PBE) results for a relaxed Ca2TbPr crystal.

It has space group R3m (No. 160, hexagonal axes), with a = 3.7031 Å, b = 3.7031 Å, c = 37.2235 Å, α = 90.00°, β = 90.00° and γ = 120.00°. The inequivalent atoms are Ca at (0.0000, 0.0000, 0.0000), Ca at (0.0000, 0.0000, 0.1683), Tb at (0.0000, 0.0000, 0.5838) and Pr at (0.0000, 0.0000, 0.4177).



Version B
DFT (GGA-PBE) results for a relaxed Ca2TbPr crystal.

It has space group P4/mmm (No. 123), with a = 5.111 Å, b = 5.111 Å, c = 5.626 Å, α = 90.00°, β = 90.00° and γ = 90.00°. The inequivalent atoms are Ca at (0.000, 0.500, 0.000), Tb at (0.000, 0.000, 0.500) and Pr at (0.500, 0.500, 0.500).



Which structure is most stable? version A, by 3.0 kJ/mol of atoms over the runner-up.



Version A
DFT (GGA-PBE) results for a relaxed CaPrTe2 crystal.

It has space group R-3m (No. 166, hexagonal axes), with a = 4.4722 Å, b = 4.4722 Å, c = 22.5861 Å, α = 90.00°, β = 90.00° and γ = 120.00°. The inequivalent atoms are Ca at (0.0000, 0.0000, 0.0000), Pr at (0.0000, 0.0000, 0.5000) and Te at (0.0000, 0.0000, 0.2525).



Version B
DFT (GGA-PBE) results for a relaxed CaPrTe2 crystal.

It has space group P6_3/mmc (No. 194), with a = 4.4133 Å, b = 4.4133 Å, c = 15.6399 Å, α = 90.00°, β = 90.00° and γ = 120.00°. The inequivalent atoms are Ca at (0.3333, 0.6667, 0.2500), Pr at (0.0000, 0.0000, 0.0000) and Te at (0.3333, 0.6667, 0.6256).



Which structure is most stable? version A, by 5.4 kJ/mol of atoms over the runner-up.